Computed, not measured: a crystal of MgCdAg relaxed with PBEsol at the SCAN level of DFT.

Results
Distance to the lowest polymorph of the same formula in meV/atom: 0
Total energy in eV/atom: -22.44
Size of the total moment in Bohr magnetons per cell: 0.0
Density of states at the Fermi level in states/eV/f.u.: 0.68
ΔH_f (0 K) in meV/atom: -183.6

Unit cell a=3.219 b=3.742 c=9.237 alpha=90.00 beta=90.00 gamma=90.00
Space group Imm2 (No. 44)
Symmetry-distinct sites (fractional):
Mg 0.000 0.000 0.000 (multiplicity 2)
Cd 0.000 0.000 0.323 (multiplicity 2)
Ag 0.000 0.000 0.656 (multiplicity 2)



Computed, not measured: a crystal of RbHCl2 relaxed with PBEsol at the SCAN level of DFT.

Results
Total energy in eV/atom: -11.39
Size of the total moment in Bohr magnetons per cell: 0.0
Density of states at the Fermi level in states/eV/f.u.: 0.00

Unit cell a=5.1115 b=5.1115 c=17.7815 alpha=90.00 beta=90.00 gamma=120.00
Space group R-3m (No. 166, hexagonal axes)
Symmetry-distinct sites (fractional):
Rb 0.0000 0.0000 0.0000 (multiplicity 3)
H 0.0000 0.0000 0.5000 (multiplicity 3)
Cl 0.0000 0.0000 0.4126 (multiplicity 6)



Computed, not measured: a crystal of Ca2HgSb relaxed with PBEsol at the SCAN level of DFT.

Results
Distance to the lowest polymorph of the same formula in meV/atom: 0
Total energy in eV/atom: -32.12
E_form (uncorrected) in meV/atom: -933
Size of the total moment in Bohr magnetons per cell: 0.0
Density of states at the Fermi level in states/eV/f.u.: 0.89

Unit cell a=4.510 b=4.377 c=11.449 alpha=90.00 beta=90.00 gamma=90.00
Space group Amm2 (No. 38)
Symmetry-distinct sites (fractional):
Ca 0.000 0.000 0.000 (multiplicity 2)
Ca 0.500 0.000 0.273 (multiplicity 2)
Hg 0.500 0.000 0.542 (multiplicity 2)
Sb 0.000 0.000 0.720 (multiplicity 2)



Computed, not measured: a crystal of In2Si2C relaxed with PBEsol at the SCAN level of DFT.

Results
Total energy in eV/atom: -17.84
E_form (uncorrected) in meV/atom: 1545
Size of the total moment in Bohr magnetons per cell: 4.0
Density of states at the Fermi level in states/eV/f.u.: 2.11

Unit cell a=4.644 b=4.644 c=9.870 alpha=90.00 beta=90.00 gamma=90.00
Space group I4/mmm (No. 139)
Symmetry-distinct sites (fractional):
In 0.000 0.500 0.250 (multiplicity 4)
Si 0.000 0.000 0.114 (multiplicity 4)
C 0.000 0.000 0.500 (multiplicity 2)



Computed, not measured: a crystal of Sc2SiIr relaxed with PBEsol at the SCAN level of DFT.

Results
Total energy in eV/atom: -28.14
E_form (uncorrected) in meV/atom: -742
Size of the total moment in Bohr magnetons per cell: 0.0
Density of states at the Fermi level in states/eV/f.u.: 1.96

Unit cell a=3.857 b=3.857 c=8.876 alpha=90.00 beta=90.00 gamma=90.00
Space group I-4m2 (No. 119)
Symmetry-distinct sites (fractional):
Sc 0.000 0.000 0.000 (multiplicity 2)
Sc 0.000 0.500 0.250 (multiplicity 2)
Si 0.000 0.000 0.500 (multiplicity 2)
Ir 0.000 0.500 0.750 (multiplicity 2)



Computed, not measured: a crystal of Cu2ReSe relaxed with PBEsol at the SCAN level of DFT.

Results
Total energy in eV/atom: -29.78
E_form (uncorrected) in meV/atom: 617
Size of the total moment in Bohr magnetons per cell: 0.0
Density of states at the Fermi level in states/eV/f.u.: 2.80

Unit cell a=2.598 b=3.981 c=5.461 alpha=90.00 beta=90.00 gamma=90.00
Space group Pmmm (No. 47)
Symmetry-distinct sites (fractional):
Cu 0.000 0.000 0.225 (multiplicity 2)
Re 0.500 0.500 0.000 (multiplicity 1)
Se 0.500 0.500 0.500 (multiplicity 1)



Computed, not measured: a crystal of SrMg2 relaxed with PBEsol at the SCAN level of DFT.

Results
Total energy in eV/atom: -10.75
Size of the total moment in Bohr magnetons per cell: 0.1
Density of states at the Fermi level in states/eV/f.u.: 2.29
ΔH_f (0 K) in meV/atom: -12.5

Unit cell a=5.4406 b=5.4406 c=3.6555 alpha=90.00 beta=90.00 gamma=120.00
Space group P6/mmm (No. 191)
Symmetry-distinct sites (fractional):
Sr 0.0000 0.0000 0.0000 (multiplicity 1)
Mg 0.3333 0.6667 0.5000 (multiplicity 2)



Computed, not measured: a crystal of USbRu relaxed with PBEsol at the SCAN level of DFT.

Results
Total energy in eV/atom: -58.82
E_form (uncorrected) in meV/atom: -284
Size of the total moment in Bohr magnetons per cell: 6.5
Density of states at the Fermi level in states/eV/f.u.: 5.44

Unit cell a=7.2609 b=7.2609 c=3.9236 alpha=90.00 beta=90.00 gamma=120.00
Space group P-62m (No. 189)
Symmetry-distinct sites (fractional):
U 0.0000 0.5891 0.0000 (multiplicity 3)
Sb 0.0000 0.2588 0.5000 (multiplicity 3)
Ru 0.0000 0.0000 0.0000 (multiplicity 1)
Ru 0.3333 0.6667 0.5000 (multiplicity 2)



Computed, not measured: a crystal of K3Mn2O8 relaxed with PBEsol at the SCAN level of DFT.

Results
Total energy in eV/atom: -10.33
E_form (uncorrected) in meV/atom: -1769
Size of the total moment in Bohr magnetons per cell: 3.0
Density of states at the Fermi level in states/eV/f.u.: 6.10

Unit cell a=5.7104 b=5.7104 c=21.1259 alpha=90.00 beta=90.00 gamma=120.00
Space group R-3m (No. 166, hexagonal axes)
Symmetry-distinct sites (fractional):
K 0.0000 0.0000 0.0000 (multiplicity 3)
K 0.0000 0.0000 0.2040 (multiplicity 6)
Mn 0.0000 0.0000 0.4078 (multiplicity 6)
O 0.0000 0.0000 0.3313 (multiplicity 6)
O 0.0240 0.5120 0.2327 (multiplicity 18)



Computed, not measured: a crystal of SiTc2Te relaxed with PBEsol at the SCAN level of DFT.

Results
Distance to the lowest polymorph of the same formula in meV/atom: 0
Total energy in eV/atom: -29.32
E_form (uncorrected) in meV/atom: 29
Size of the total moment in Bohr magnetons per cell: 0.0
Density of states at the Fermi level in states/eV/f.u.: 2.27

Unit cell a=4.374 b=4.374 c=3.115 alpha=90.00 beta=90.00 gamma=90.00
Space group P4/mmm (No. 123)
Symmetry-distinct sites (fractional):
Si 0.000 0.000 0.000 (multiplicity 1)
Tc 0.000 0.500 0.500 (multiplicity 2)
Te 0.500 0.500 0.000 (multiplicity 1)



Computed, not measured: a crystal of La2CdCo relaxed with PBEsol at the SCAN level of DFT.

Results
Total energy in eV/atom: -33.55
Size of the total moment in Bohr magnetons per cell: 0.0
Density of states at the Fermi level in states/eV/f.u.: 2.59
ΔH_f (0 K) in meV/atom: -64.8

Unit cell a=3.8826 b=3.8826 c=24.6740 alpha=90.00 beta=90.00 gamma=120.00
Space group R-3m (No. 166, hexagonal axes)
Symmetry-distinct sites (fractional):
La 0.0000 0.0000 0.2295 (multiplicity 6)
Cd 0.0000 0.0000 0.0000 (multiplicity 3)
Co 0.0000 0.0000 0.5000 (multiplicity 3)



Computed, not measured: a crystal of SrTcH3 relaxed with PBEsol at the SCAN level of DFT.

Results
Total energy in eV/atom: -13.86
Size of the total moment in Bohr magnetons per cell: 0.0

Unit cell a=3.717 b=3.717 c=3.717 alpha=90.00 beta=90.00 gamma=90.00
Space group Pm-3m (No. 221)
Symmetry-distinct sites (fractional):
Sr 0.000 0.000 0.000 (multiplicity 1)
Tc 0.500 0.500 0.500 (multiplicity 1)
H 0.000 0.500 0.500 (multiplicity 3)



Repeat the eighth record exactly.
Computed, not measured: a crystal of USbRu relaxed with PBEsol at the SCAN level of DFT.

Results
Total energy in eV/atom: -58.82
E_form (uncorrected) in meV/atom: -284
Size of the total moment in Bohr magnetons per cell: 6.5
Density of states at the Fermi level in states/eV/f.u.: 5.44

Unit cell a=7.2609 b=7.2609 c=3.9236 alpha=90.00 beta=90.00 gamma=120.00
Space group P-62m (No. 189)
Symmetry-distinct sites (fractional):
U 0.0000 0.5891 0.0000 (multiplicity 3)
Sb 0.0000 0.2588 0.5000 (multiplicity 3)
Ru 0.0000 0.0000 0.0000 (multiplicity 1)
Ru 0.3333 0.6667 0.5000 (multiplicity 2)